--- i ---
DFT (PBE-GGA) results for a relaxed Na2CrTcSn crystal.

Its crystal system is tetragonal.

It has space group P4/mmm (No. 123), with a = 5.3857 Å, b = 5.3857 Å, c = 4.4810 Å, α = 90.00°, β = 90.00° and γ = 90.00°. The inequivalent atoms are Na at (0.0000, 0.5000, 0.0000), Cr at (0.0000, 0.0000, 0.0000), Tc at (0.0000, 0.0000, 0.5000) and Sn at (0.5000, 0.5000, 0.5000).

---

--- ii ---
DFT (PBE-GGA) results for a relaxed Na2CrTcSn crystal.

Its crystal system is tetragonal.

It has space group P4/mmm (No. 123), with a = 5.5503 Å, b = 5.5503 Å, c = 4.1920 Å, α = 90.00°, β = 90.00° and γ = 90.00°. The inequivalent atoms are Na at (0.0000, 0.5000, 0.0000), Cr at (0.0000, 0.0000, 0.5000), Tc at (0.0000, 0.0000, 0.0000) and Sn at (0.5000, 0.5000, 0.5000).

---

The most stable arrangement is i, and the next structure is 149 meV/atom less stable.

---

--- i ---
DFT (PBE-GGA) results for a relaxed NaSr3Cr crystal.

Its crystal system is cubic.

It has space group Pm-3m (No. 221), with a = 6.3502 Å, b = 6.3502 Å, c = 6.3502 Å, α = 90.00°, β = 90.00° and γ = 90.00°. The inequivalent atoms are Na at (0.0000, 0.0000, 0.0000), Sr at (0.0000, 0.0000, 0.5000) and Cr at (0.5000, 0.5000, 0.5000).

---

--- ii ---
DFT (PBE-GGA) results for a relaxed NaSr3Cr crystal.

Its crystal system is cubic.

It has space group Pm-3m (No. 221), with a = 5.9120 Å, b = 5.9120 Å, c = 5.9120 Å, α = 90.00°, β = 90.00° and γ = 90.00°. The inequivalent atoms are Na at (0.0000, 0.0000, 0.0000), Sr at (0.0000, 0.5000, 0.5000) and Cr at (0.5000, 0.5000, 0.5000).

---

The most stable arrangement is ii, and the next structure is 85 meV/atom less stable.

---

--- i ---
DFT (PBE-GGA) results for a relaxed Na2SrCr crystal.

Its crystal system is cubic.

It has space group Fm-3m (No. 225), with a = 8.0709 Å, b = 8.0709 Å, c = 8.0709 Å, α = 90.00°, β = 90.00° and γ = 90.00°. The inequivalent atoms are Na at (0.2500, 0.2500, 0.2500), Sr at (0.0000, 0.0000, 0.0000) and Cr at (0.0000, 0.0000, 0.5000).

---

--- ii ---
DFT (PBE-GGA) results for a relaxed Na2SrCr crystal.

Its crystal system is tetragonal.

It has space group I-42d (No. 122), with a = 4.7986 Å, b = 4.7986 Å, c = 25.2261 Å, α = 90.00°, β = 90.00° and γ = 90.00°. The inequivalent atoms are Na at (0.2141, 0.2500, 0.1250), Sr at (0.0000, 0.0000, 0.5000) and Cr at (0.0000, 0.0000, 0.0000).

---

The most stable arrangement is i, and the next structure is 42 meV/atom less stable.